# 1
# NaVCu2F8 PBE with a Hubbard U optimized geometry
# Magnetization, Bohr magnetons per cell: 2.02
# DFT total energy, eV/f.u.: -56.9
# Calculated volume, Å³/atom: 11.7
data_NaVCu2F8
_symmetry_space_group_name_H-M 'P 1'
_symmetry_Int_Tables_number 1
_cell_length_a 5.239
_cell_length_b 5.239
_cell_length_c 6.308
_cell_angle_alpha 114.53
_cell_angle_beta 114.53
_cell_angle_gamma 90.00
loop_
_symmetry_equiv_pos_as_xyz
'x,y,z'
loop_
_atom_site_label
_atom_site_fract_x
_atom_site_fract_y
_atom_site_fract_z
F1 0.029 0.980 0.679
F2 0.359 0.279 0.131
F3 0.020 0.350 0.321
F4 0.721 0.227 0.869
F5 0.773 0.852 0.131
Na1 0.750 0.250 0.500
F6 0.301 0.971 0.321
Cu1 0.500 0.500 0.000
F7 0.650 0.699 0.679
Cu2 0.250 0.750 0.500
F8 0.148 0.641 0.869
V1 0.000 0.000 0.000


# 2
# Na2VCuF6 PBE with a Hubbard U optimized geometry
# Magnetization, Bohr magnetons per cell: 3.86
# DFT total energy, eV/f.u.: -50.2
# Calculated volume, Å³/atom: 13.9
data_Na2VCuF6
_symmetry_space_group_name_H-M 'P 1'
_symmetry_Int_Tables_number 1
_cell_length_a 5.511
_cell_length_b 5.453
_cell_length_c 9.266
_cell_angle_alpha 90.00
_cell_angle_beta 90.32
_cell_angle_gamma 90.00
loop_
_symmetry_equiv_pos_as_xyz
'x,y,z'
loop_
_atom_site_label
_atom_site_fract_x
_atom_site_fract_y
_atom_site_fract_z
F1 0.848 0.701 0.352
Na1 0.001 0.999 0.212
Na2 0.999 0.001 0.788
F2 0.651 0.201 0.852
Na3 0.499 0.499 0.288
F3 0.652 0.201 0.148
Na4 0.501 0.501 0.712
F4 0.151 0.299 0.352
F5 0.684 0.291 0.500
V1 0.000 0.500 0.500
Cu1 0.500 0.000 0.500
F6 0.152 0.299 0.648
F7 0.349 0.799 0.148
V2 0.500 0.000 0.000
F8 0.184 0.209 0.000
Cu2 0.000 0.500 0.000
F9 0.816 0.791 0.000
F10 0.316 0.709 0.500
F11 0.348 0.799 0.852
F12 0.849 0.701 0.648